No. 1
A geometry-optimized MnCo2Pt3 structure. Source: Alexandria via LeMat-Bulk, functional PBE.

Calculated values
Density of states at the Fermi level   6.162 states/eV/f.u.

a = 3.867 Å, b = 6.097 Å, c = 7.502 Å
α = 90.00°, β = 90.00°, γ = 71.51°
Positions (direct):
Co 0.669 0.662 0.500
Co 0.331 0.338 0.500
Co 0.000 0.000 0.000
Co 0.000 0.000 0.500
Mn 0.658 0.683 0.000
Mn 0.342 0.317 0.000
Pt 0.834 0.332 0.255
Pt 0.500 0.000 0.260
Pt 0.500 0.000 0.740
Pt 0.166 0.668 0.745
Pt 0.834 0.332 0.745
Pt 0.166 0.668 0.255

=====

No. 2
A geometry-optimized Mn6CoPt structure. Source: Alexandria via LeMat-Bulk, functional PBE.

Calculated values
Density of states at the Fermi level   5.720 states/eV/f.u.

a = 3.652 Å, b = 3.652 Å, c = 7.258 Å
α = 90.00°, β = 90.00°, γ = 90.00°
Positions (direct):
Mn 0.000 0.500 0.737
Mn 0.500 0.500 0.000
Mn 0.500 0.500 0.500
Mn 0.500 0.000 0.263
Mn 0.500 0.000 0.737
Mn 0.000 0.500 0.263
Pt 0.000 0.000 0.000
Co 0.000 0.000 0.500

=====

No. 3
A geometry-optimized MnCo2Pt2 structure. Source: Alexandria via LeMat-Bulk, functional PBE.

Calculated values
Density of states at the Fermi level   5.038 states/eV/f.u.
Polymorph energy (0 for the lowest one)   0.0000 eV per atom

a = 3.279 Å, b = 3.279 Å, c = 7.199 Å
α = 76.83°, β = 76.83°, γ = 90.00°
Positions (direct):
Co 0.750 0.250 0.500
Co 0.250 0.750 0.500
Pt 0.399 0.399 0.202
Pt 0.601 0.601 0.798
Mn 0.000 0.000 0.000

=====

No. 4
A geometry-optimized Mn6Co5Pt structure. Source: Alexandria via LeMat-Bulk, functional PBE.

Calculated values
Density of states at the Fermi level   11.082 states/eV/f.u.

a = 4.112 Å, b = 5.813 Å, c = 7.113 Å
α = 114.12°, β = 106.74°, γ = 90.00°
Positions (direct):
Mn 0.500 0.264 0.000
Mn 0.828 0.571 0.657
Mn 0.828 0.085 0.657
Mn 0.172 0.915 0.343
Mn 0.172 0.429 0.343
Mn 0.500 0.736 0.000
Co 0.332 0.332 0.665
Co 0.668 0.668 0.335
Co 0.335 0.835 0.669
Co 0.665 0.165 0.331
Co 0.000 0.500 0.000
Pt 0.000 0.000 0.000

=====

No. 5
A geometry-optimized Mn3CoPt12 structure. Source: Alexandria via LeMat-Bulk, functional PBE.

Calculated values
Density of states at the Fermi level   19.070 states/eV/f.u.

a = 3.921 Å, b = 3.921 Å, c = 15.663 Å
α = 90.00°, β = 90.00°, γ = 90.00°
Positions (direct):
Pt 0.500 0.000 0.877
Pt 0.500 0.500 0.500
Pt 0.500 0.000 0.123
Pt 0.000 0.500 0.374
Pt 0.500 0.500 0.751
Pt 0.500 0.500 0.000
Pt 0.500 0.000 0.374
Pt 0.500 0.500 0.249
Pt 0.500 0.000 0.626
Pt 0.000 0.500 0.123
Pt 0.000 0.500 0.626
Pt 0.000 0.500 0.877
Mn 0.000 0.000 0.248
Mn 0.000 0.000 0.500
Mn 0.000 0.000 0.752
Co 0.000 0.000 0.000

=====

No. 6
A geometry-optimized MnCo3Pt4 structure. Source: Alexandria via LeMat-Bulk, functional PBE.

Calculated values
Density of states at the Fermi level   7.638 states/eV/f.u.

a = 4.649 Å, b = 5.422 Å, c = 8.761 Å
α = 90.00°, β = 90.00°, γ = 90.00°
Positions (direct):
Pt 0.150 0.248 0.750
Pt 0.500 0.752 0.500
Pt 0.850 0.752 0.250
Pt 0.500 0.248 0.500
Pt 0.500 0.752 0.000
Pt 0.150 0.752 0.750
Pt 0.500 0.248 0.000
Pt 0.850 0.248 0.250
Co 0.000 0.000 0.000
Co 0.000 0.000 0.500
Co 0.344 0.500 0.250
Co 0.334 0.000 0.250
Co 0.666 0.000 0.750
Co 0.656 0.500 0.750
Mn 0.000 0.500 0.500
Mn 0.000 0.500 0.000

=====

Number 1: ΔH_f (0 K) -0.183 eV/atom. Number 2: ΔH_f (0 K) -0.121 eV/atom. Number 3: ΔH_f (0 K) 0.094 eV/atom. Number 4: ΔH_f (0 K) -0.050 eV/atom. Number 5: ΔH_f (0 K) -0.285 eV/atom. Number 6: ΔH_f (0 K) -0.159 eV/atom.